Material: BaBi2Te2
Method: DFT, PBE
State: relaxed

Values from the calculation:
E above lowest polymorph: 0.093 eV/atom
formation energy (no corrections): -43 kJ per mole of atoms
space group: No. 139
spin magnetization: 0.00 μB/f.u.

Lattice parameters (Å, degrees): 6.743 6.743 6.743 125.09 125.09 81.40
Atoms (fractional coordinates):
1 Ba 0.000 0.000 0.000
2 Bi 0.340 0.340 0.000
3 Bi 0.660 0.660 0.000
4 Te 0.250 0.750 0.500
5 Te 0.750 0.250 0.500